(1)
## Na2NiAs2 (PBE)

Data for a relaxed structure of Na2NiAs2.

**Uncorrected energy**: -3.884 eV per atom

Cell: 3.9147 5.6735 9.3650 Å, 90.00 90.00 90.00°
Last column: nearest neighbours and their distance in Å.
Space group Immm (No. 71)
Unique sites:
1 Na 0.0000 0.0000 0.2001 [4 per cell]  6 As 3.10-3.11, 4 Ni 3.40-3.42
2 Ni 0.0000 0.5000 0.0000 [2 per cell]  4 As 2.37
3 As 0.0000 0.2346 0.5000 [4 per cell]  2 Ni 2.37

=====

(2)
## Mg4Te3Se (PBE)

Data for a relaxed structure of Mg4Te3Se.

**E_form (uncorrected)**: -0.96 eV/atom

Cell: 4.5116 4.5116 44.2988 Å, 90.00 90.00 120.00°
Last column: nearest neighbours and their distance in Å.
Space group R3m (No. 160, hexagonal axes)
Unique sites:
1 Mg 0.0000 0.0000 0.0000 [3 per cell]  1 Se 2.60, 3 Te 2.79
2 Mg 0.0000 0.0000 0.2470 [3 per cell]  4 Te 2.79-2.81
3 Mg 0.0000 0.0000 0.4941 [3 per cell]  4 Te 2.79-2.82
4 Mg 0.0000 0.0000 0.7412 [3 per cell]  3 Se 2.70, 1 Te 2.82
5 Te 0.0000 0.0000 0.3106 [3 per cell]  4 Mg 2.79-2.81
6 Te 0.0000 0.0000 0.5577 [3 per cell]  4 Mg 2.79-2.82
7 Te 0.0000 0.0000 0.8048 [3 per cell]  4 Mg 2.79-2.82
8 Se 0.0000 0.0000 0.0586 [3 per cell]  4 Mg 2.60-2.70

=====

(3)
## ZrNi2As (PBE)

Data for a relaxed structure of ZrNi2As.

**Uncorrected energy**: -6.691 eV per atom

Cell: 4.0247 4.0247 12.9065 Å, 90.00 90.00 120.00°
Last column: nearest neighbours and their distance in Å.
Space group R3m (No. 160, hexagonal axes)
Unique sites:
1 Zr 0.0000 0.0000 0.0000 [3 per cell]  7 Ni 2.73-2.94, 4 As 2.73-2.81
2 Ni 0.0000 0.0000 0.2225 [3 per cell]  3 Ni 2.56, 3 As 2.66, 3 Zr 2.73
3 Ni 0.0000 0.0000 0.4730 [3 per cell]  3 As 2.34, 3 Ni 2.56
4 As 0.0000 0.0000 0.7885 [3 per cell]  3 Ni 2.34

=====

(4)
## Li2TeH2 (PBE)

Data for a relaxed structure of Li2TeH2.

**Uncorrected energy**: -3.131 eV per atom

Cell: 6.5414 6.5414 3.8315 Å, 90.00 90.00 90.00°
Last column: nearest neighbours and their distance in Å.
Space group P4/mbm (No. 127)
Unique sites:
1 Li 0.2402 0.2598 0.0000 [4 per cell]  6 H 2.78-2.96, 4 Te 3.00
2 Te 0.0000 0.0000 0.5000 [2 per cell]  8 Li 3.00, 4 H 3.01
3 H 0.0414 0.5414 0.5000 [4 per cell]  1 H 0.77

=====

(5)
## MgCrMo3 (PBE)

Data for a relaxed structure of MgCrMo3.

**Uncorrected energy**: -7.664 eV per atom

Cell: 4.5342 4.5342 4.5342 Å, 90.00 90.00 90.00°
Last column: nearest neighbours and their distance in Å.
Space group Pm-3m (No. 221)
Unique sites:
1 Mg 0.0000 0.0000 0.0000 [1 per cell]  12 Mo 3.21
2 Cr 0.5000 0.5000 0.5000 [1 per cell]  6 Mo 2.27
3 Mo 0.0000 0.5000 0.5000 [3 per cell]  2 Cr 2.27

=====

(6)
## PmTlAs4 (PBE)

Data for a relaxed structure of PmTlAs4.

**Uncorrected energy**: -4.490 eV per atom

Cell: 8.1869 8.1869 8.1869 Å, 90.00 90.00 90.00°
Last column: nearest neighbours and their distance in Å.
Space group F-43m (No. 216)
Unique sites:
1 Pm 0.0000 0.0000 0.0000 [4 per cell]  12 As 3.40, 4 Tl 3.55
2 Tl 0.2500 0.2500 0.2500 [4 per cell]  12 As 3.39, 4 Pm 3.55
3 As 0.1224 0.1224 0.6224 [16 per cell]  6 As 2.83-2.95

=====

(7)
## LiPr4Er4 (PBE)

Data for a relaxed structure of LiPr4Er4.

**Uncorrected energy**: -4.041 eV per atom

Cell: 6.3539 7.9357 11.5443 Å, 90.00 90.00 90.00°
Last column: nearest neighbours and their distance in Å.
Space group I222 (No. 23)
Unique sites:
1 Li 0.0000 0.0000 0.0000 [2 per cell]  2 Pr 2.54
2 Pr 0.0000 0.0000 0.5000 [2 per cell]  4 Er 3.48, 4 Pr 3.48
3 Pr 0.0000 0.3197 0.0000 [4 per cell]  1 Li 2.54
4 Pr 0.0000 0.5000 0.5000 [2 per cell]  2 Li 3.18, 4 Er 3.46
5 Er 0.2366 0.1366 0.2449 [8 per cell]  1 Li 3.38, 4 Pr 3.40-3.52, 3 Er 3.65-3.71

=====

(8)
## SrScSi (PBE)

Data for a relaxed structure of SrScSi.

**E_form (uncorrected)**: -0.19 eV/atom

Cell: 6.9899 6.9899 6.9899 Å, 90.00 90.00 90.00°
Last column: nearest neighbours and their distance in Å.
Space group F-43m (No. 216)
Unique sites:
1 Sr 0.0000 0.0000 0.0000 [4 per cell]  4 Si 3.03
2 Sc 0.0000 0.0000 0.5000 [4 per cell]  4 Si 3.03
3 Si 0.2500 0.2500 0.7500 [4 per cell]  4 Sc 3.03, 4 Sr 3.03

=====

(9)
## UOsRh (PBE)

Data for a relaxed structure of UOsRh.

**Uncorrected energy**: -10.018 eV per atom

Cell: 7.5511 4.3607 7.3490 Å, 90.00 109.93 90.00°
Last column: nearest neighbours and their distance in Å.
Space group Cm (No. 8)
Unique sites:
1 U 0.0000 0.0000 0.0000 [2 per cell]  4 Os 2.71-2.87, 3 Rh 2.86-2.87
2 U 0.0378 0.5000 0.6127 [2 per cell]  6 Os 2.83-2.95, 4 Rh 2.87-3.00
3 Os 0.1317 0.0000 0.3918 [2 per cell]  3 Rh 2.52, 1 U 2.71
4 Os 0.2665 0.0000 0.8005 [2 per cell]  1 Rh 2.74, 1 Os 2.82, 6 U 2.83-2.87
5 Rh 0.2934 0.5000 0.3776 [2 per cell]  3 Os 2.52, 3 Rh 2.81
6 Rh 0.4004 0.0000 0.1971 [2 per cell]  4 Os 2.74-2.85, 3 Rh 2.81, 4 U 2.86-2.87

=====

(10)
## FeTe2MoI (PBE)

Data for a relaxed structure of FeTe2MoI.

**E_form (uncorrected)**: 0.98 eV/atom

Cell: 5.2649 5.2649 5.6704 Å, 90.00 90.00 90.00°
Last column: nearest neighbours and their distance in Å.
Space group P4/mmm (No. 123)
Unique sites:
1 Fe 0.0000 0.0000 0.0000 [1 per cell]  4 I 3.72, 8 Te 3.87
2 Te 0.0000 0.5000 0.5000 [2 per cell]  2 Mo 2.63
3 Mo 0.5000 0.5000 0.5000 [1 per cell]  4 Te 2.63, 2 I 2.84
4 I 0.5000 0.5000 0.0000 [1 per cell]  2 Mo 2.84

=====

(11)
## CdTe2Rh (PBE)

Data for a relaxed structure of CdTe2Rh.

**E_form (uncorrected)**: 0.24 eV/atom

Cell: 3.1428 3.1428 35.4872 Å, 90.00 90.00 120.00°
Last column: nearest neighbours and their distance in Å.
Space group R-3m (No. 166, hexagonal axes)
Unique sites:
1 Cd 0.0000 0.0000 0.0000 [3 per cell]  6 Cd 3.14
2 Te 0.0000 0.0000 0.4281 [6 per cell]  1 Rh 2.55
3 Rh 0.0000 0.0000 0.5000 [3 per cell]  2 Te 2.55

=====

(12)
## Fe4Cu2P (PBE)

Data for a relaxed structure of Fe4Cu2P.

**Uncorrected energy**: -6.204 eV per atom

Cell: 4.0666 4.0666 12.1907 Å, 90.00 90.00 90.00°
Last column: nearest neighbours and their distance in Å.
Space group I4/mmm (No. 139)
Unique sites:
1 Fe 0.0000 0.0000 0.1808 [4 per cell]  1 P 2.20, 1 Cu 2.38
2 Fe 0.0000 0.5000 0.0000 [4 per cell]  2 P 2.03
3 Cu 0.0000 0.0000 0.3758 [4 per cell]  5 Fe 2.38-2.54
4 P 0.0000 0.0000 0.0000 [2 per cell]  6 Fe 2.03-2.20

=====

(13)
## Y4SbTe (PBE)

Data for a relaxed structure of Y4SbTe.

**E_form (uncorrected)**: -0.09 eV/atom

Cell: 8.9250 8.9250 8.9250 Å, 90.00 90.00 90.00°
Last column: nearest neighbours and their distance in Å.
Space group F-43m (No. 216)
Unique sites:
1 Y 0.1245 0.1245 0.1245 [16 per cell]  6 Y 3.14-3.17
2 Sb 0.2500 0.2500 0.7500 [4 per cell]  12 Y 3.70, 4 Te 3.86
3 Te 0.0000 0.0000 0.5000 [4 per cell]  12 Y 3.70, 4 Sb 3.86

=====

(14)
## BaSiAu4 (PBE)

Data for a relaxed structure of BaSiAu4.

**E_form (uncorrected)**: -0.39 eV/atom

Cell: 4.6621 19.8195 6.1270 Å, 90.00 90.00 90.00°
Last column: nearest neighbours and their distance in Å.
Space group Cmcm (No. 63)
Unique sites:
1 Ba 0.0000 0.1214 0.2500 [4 per cell]  13 Au 3.30-3.69
2 Si 0.0000 0.3933 0.2500 [4 per cell]  6 Au 2.51-2.61
3 Au 0.0000 0.0573 0.7500 [4 per cell]  2 Si 2.53
4 Au 0.0000 0.2917 0.0065 [8 per cell]  1 Si 2.51
5 Au 0.0000 0.5000 0.0000 [4 per cell]  2 Si 2.61

=====

(15)
## Pa6CS5 (PBE)

Data for a relaxed structure of Pa6CS5.

**E_form (uncorrected)**: -1.42 eV/atom

Cell: 6.7363 11.7023 6.5536 Å, 90.00 110.24 90.00°
Last column: nearest neighbours and their distance in Å.
Space group C2/m (No. 12)
Unique sites:
1 Pa 0.2335 0.0000 0.2604 [4 per cell]  1 C 2.58, 5 S 2.74-2.87
2 Pa 0.2360 0.1572 0.7367 [8 per cell]  1 C 2.57, 5 S 2.72-2.81
3 C 0.0000 0.0000 0.5000 [2 per cell]  6 Pa 2.57-2.58
4 S 0.0000 0.1742 0.0000 [4 per cell]  6 Pa 2.73-2.81
5 S 0.0000 0.3344 0.5000 [4 per cell]  6 Pa 2.74
6 S 0.0000 0.5000 0.0000 [2 per cell]  6 Pa 2.72-2.87

=====

(16)
## GaHgB (PBE)

Data for a relaxed structure of GaHgB.

**Uncorrected energy**: -2.999 eV per atom

Cell: 11.7025 3.1728 6.0586 Å, 90.00 90.00 90.00°
Last column: nearest neighbours and their distance in Å.
Space group Pnma (No. 62)
Unique sites:
1 Ga 0.1528 0.2500 0.2225 [4 per cell]  2 B 2.38
2 Hg 0.1160 0.7500 0.6225 [4 per cell]  3 Ga 2.77-2.93, 2 B 2.78
3 B 0.0000 0.0000 0.0000 [4 per cell]  2 B 1.59

=====

(17)
## Tl3Cd (PBE)

Data for a relaxed structure of Tl3Cd.

**Uncorrected energy**: -1.972 eV per atom

Cell: 3.4538 3.4538 9.6527 Å, 90.00 90.00 90.00°
Last column: nearest neighbours and their distance in Å.
Space group P4/mmm (No. 123)
Unique sites:
1 Tl 0.0000 0.0000 0.0000 [1 per cell]  12 Tl 3.45-3.56
2 Tl 0.5000 0.5000 0.2686 [2 per cell]  4 Cd 3.31, 8 Tl 3.45-3.56
3 Cd 0.0000 0.0000 0.5000 [1 per cell]  8 Tl 3.31, 4 Cd 3.45

=====

(18)
## InBPW2 (PBE)

Data for a relaxed structure of InBPW2.

**Uncorrected energy**: -6.972 eV per atom

Cell: 4.6849 4.6849 3.6672 Å, 90.00 90.00 90.00°
Last column: nearest neighbours and their distance in Å.
Space group P4/mmm (No. 123)
Unique sites:
1 In 0.0000 0.0000 0.0000 [1 per cell]  8 W 2.97, 4 B 3.31
2 B 0.5000 0.5000 0.0000 [1 per cell]  2 P 1.83
3 P 0.5000 0.5000 0.5000 [1 per cell]  2 B 1.83
4 W 0.0000 0.5000 0.5000 [2 per cell]  2 P 2.34

=====

| no. | magnetic moment (μB/cell) |
| --- | --- |
| 1 | 0.01 |
| 2 | 0.00 |
| 3 | 0.00 |
| 4 | 0.00 |
| 5 | 0.00 |
| 6 | 0.00 |
| 7 | 0.00 |
| 8 | 0.00 |
| 9 | 3.05 |
| 10 | 2.59 |
| 11 | 0.00 |
| 12 | 17.45 |
| 13 | 0.00 |
| 14 | 0.00 |
| 15 | 0.00 |
| 16 | 0.00 |
| 17 | 0.00 |
| 18 | 0.00 |